# PBE PrNd4Ho, optimized geometry
# * energy relative to the elements: 102 kJ/mol of formula units
# * total DFT energy (no corrections): -4.562 eV per atom
# * total magnetic moment: 0.000 μB per cell
data_PrNd4Ho
_symmetry_space_group_name_H-M 'C 1 2/m 1'
_symmetry_Int_Tables_number 12
_cell_length_a 11.9110
_cell_length_b 3.5005
_cell_length_c 11.7276
_cell_angle_alpha 90.00
_cell_angle_beta 119.63
_cell_angle_gamma 90.00
loop_
_symmetry_equiv_pos_as_xyz
'x,y,z'
'-x,-y,-z'
'-x,y,-z'
'x,-y,z'
'x+1/2,y+1/2,z'
'-x+1/2,-y+1/2,-z'
'-x+1/2,y+1/2,-z'
'x+1/2,-y+1/2,z'
loop_
_atom_site_label
_atom_site_fract_x
_atom_site_fract_y
_atom_site_fract_z
_atom_site_occupancy
Pr1 0.0000 0.0000 0.0000 1
Nd1 0.1867 0.0000 0.8413 1
Nd2 0.1907 0.0000 0.3468 1
Ho1 0.0000 0.0000 0.5000 1